# 1
Computed, not measured: a geometry-optimized Ir5Os2Ru5 structure at the PBE level of DFT.

## Properties
Formation energy   0.1 eV per formula unit

a = 3.8402 Å, b = 6.0865 Å, c = 8.1587 Å
α = 72.73°, β = 76.39°, γ = 71.61°
Element x y z (fractional)
Ir: 0.7485 0.2544 0.2486
Ir: 0.8357 0.8288 0.4998
Ir: 0.1643 0.1712 0.5002
Ir: 0.2515 0.7456 0.7514
Ir: 0.0000 0.0000 0.0000
Ru: 0.6665 0.6657 0.0013
Ru: 0.3335 0.3343 0.9987
Ru: 0.5803 0.0893 0.7500
Ru: 0.5000 0.5000 0.5000
Ru: 0.4197 0.9107 0.2500
Os: 0.9170 0.4149 0.7511
Os: 0.0830 0.5851 0.2489

# 2
Computed, not measured: a geometry-optimized Sr2LaScTi structure at the PBE level of DFT.

## Properties
Formation energy   5.9 eV per formula unit

a = 5.9998 Å, b = 5.6103 Å, c = 5.9998 Å
α = 90.00°, β = 90.00°, γ = 90.00°
Site moments in Bohr magnetons follow the coordinates.
Element x y z (fractional)
Sc: 0.0000 0.0000 0.0000  0.08
Sr: 0.0000 0.0000 0.5000  0.01
Sr: 0.5000 0.0000 0.0000  0.01
Ti: 0.5000 0.5000 0.5000  -0.22
La: 0.0000 0.5000 0.0000  0.01

# 3
Computed, not measured: a geometry-optimized CaMoC3 structure at the PBE level of DFT.

## Properties
Formation energy   5.2 eV per formula unit

a = 4.1177 Å, b = 4.1177 Å, c = 4.1177 Å
α = 90.00°, β = 90.00°, γ = 90.00°
Element x y z (fractional)
C: 0.0000 0.5000 0.0000
C: 0.0000 0.0000 0.5000
C: 0.5000 0.0000 0.0000
Mo: 0.0000 0.0000 0.0000
Ca: 0.5000 0.5000 0.5000

# 4
Computed, not measured: a geometry-optimized RbP2H4 structure at the PBE level of DFT.

## Properties
Raw total energy   -3.592 eV/atom

a = 4.5075 Å, b = 8.8860 Å, c = 8.8860 Å
α = 90.00°, β = 90.00°, γ = 90.00°
Site moments in Bohr magnetons follow the coordinates.
Element x y z (fractional)
H: 0.5000 0.1325 0.3009  0.00
H: 0.5000 0.6991 0.8675  0.00
H: 0.0000 0.8009 0.3675  0.00
H: 0.0000 0.6325 0.1991  0.00
H: 0.5000 0.8675 0.6991  0.00
H: 0.5000 0.3009 0.1325  0.00
H: 0.0000 0.3675 0.8009  0.00
H: 0.0000 0.1991 0.6325  0.00
P: 0.0000 0.2067 0.7933  0.21
P: 0.5000 0.7067 0.7067  0.21
P: 0.0000 0.7933 0.2067  0.21
P: 0.5000 0.2933 0.2933  0.21
Rb: 0.0000 0.5000 0.5000  0.01
Rb: 0.5000 0.0000 0.0000  0.01

# 5
Computed, not measured: a geometry-optimized YV2Ru2 structure at the PBE level of DFT.

## Properties
Formation energy   -1.3 eV per formula unit

a = 4.1462 Å, b = 4.1462 Å, c = 5.9667 Å
α = 69.67°, β = 69.67°, γ = 90.00°
Element x y z (fractional)
Ru: 0.3750 0.3750 0.2500
Ru: 0.6250 0.6250 0.7500
V: 0.2500 0.7500 0.5000
V: 0.7500 0.2500 0.5000
Y: 0.0000 0.0000 0.0000

# 6
Computed, not measured: a geometry-optimized Ca2TaGaO6 structure at the PBE level of DFT.

## Properties
Raw total energy   -7.522 eV/atom

a = 4.0490 Å, b = 5.5481 Å, c = 5.5481 Å
α = 90.00°, β = 90.00°, γ = 90.00°
Element x y z (fractional)
O: 0.6815 0.2519 0.2519
O: 0.1628 0.0000 0.0000
O: 0.6815 0.2519 0.7481
O: 0.1550 0.5000 0.5000
O: 0.6815 0.7481 0.2519
O: 0.6815 0.7481 0.7481
Ca: 0.0675 0.5000 0.0000
Ca: 0.0675 0.0000 0.5000
Ga: 0.6400 0.0000 0.0000
Ta: 0.6278 0.5000 0.5000

# 7
Computed, not measured: a geometry-optimized La2Tb6Tm5 structure at the PBE level of DFT.

## Properties
Formation energy   1.9 eV per formula unit

a = 5.2474 Å, b = 12.6052 Å, c = 12.8113 Å
α = 90.00°, β = 90.00°, γ = 90.00°
Element x y z (fractional)
Tm: 0.5000 0.8998 0.7254
Tm: 0.5000 0.8918 0.1079
Tm: 0.5000 0.0000 0.5000
Tm: 0.5000 0.6002 0.2254
Tm: 0.5000 0.5000 0.0000
Tm: 0.5000 0.1002 0.2746
Tm: 0.5000 0.6082 0.6079
Tm: 0.5000 0.3918 0.3921
Tm: 0.5000 0.1082 0.8921
Tm: 0.5000 0.3998 0.7746
Tb: 0.0000 0.6942 0.0832
Tb: 0.0000 0.4040 0.5988
Tb: 0.5000 0.7286 0.9026
Tb: 0.0000 0.0960 0.0988
Tb: 0.0000 0.1942 0.4168
Tb: 0.0000 0.9040 0.9012
Tb: 0.5000 0.7714 0.4026
Tb: 0.0000 0.5960 0.4012
Tb: 0.0000 0.3058 0.9168
Tb: 0.5000 0.2714 0.0974
Tb: 0.5000 0.2286 0.5974
Tb: 0.0000 0.8058 0.5832
La: 0.0000 0.5891 0.8062
La: 0.0000 0.9109 0.3062
La: 0.0000 0.0891 0.6938
La: 0.0000 0.4109 0.1938

# 8
Computed, not measured: a geometry-optimized BaCoIN2 structure at the PBE level of DFT.

## Properties
Raw total energy   -3.617 eV/atom

a = 4.6534 Å, b = 4.6534 Å, c = 7.1880 Å
α = 90.00°, β = 90.00°, γ = 90.00°
Site moments in Bohr magnetons follow the coordinates.
Element x y z (fractional)
N: 0.0000 0.5000 0.0000  0.75
N: 0.5000 0.0000 0.0000  0.75
I: 0.0000 0.0000 0.5000  0.00
Co: 0.5000 0.5000 0.5000  2.12
Ba: 0.0000 0.0000 0.0000  0.00

# 9
Computed, not measured: a geometry-optimized LiBC structure at the PBE level of DFT.

## Properties
Formation energy   0.7 eV per formula unit

a = 5.5103 Å, b = 5.4799 Å, c = 5.0982 Å
α = 62.66°, β = 62.06°, γ = 55.28°
Element x y z (fractional)
C: 0.5466 0.9534 0.5466
C: 0.7966 0.2034 0.7966
C: 0.9534 0.5466 0.9534
C: 0.2034 0.7966 0.2034
Li: 0.6320 0.6320 0.3680
Li: 0.3820 0.3820 0.1180
Li: 0.3680 0.3680 0.6320
Li: 0.1180 0.1180 0.3820
B: 0.3750 0.8750 0.8750
B: 0.8750 0.8750 0.8750
B: 0.8750 0.8750 0.3750
B: 0.8750 0.3750 0.8750

# 10
Computed, not measured: a geometry-optimized Zn5Cu6Au2 structure at the PBE level of DFT.

## Properties
Formation energy   -0.4 eV per formula unit

a = 3.8360 Å, b = 9.3496 Å, c = 10.2892 Å
α = 90.00°, β = 90.00°, γ = 90.00°
Element x y z (fractional)
Cu: 0.5000 0.2583 0.0760
Cu: 0.0000 0.7043 0.0784
Cu: 0.0000 0.9078 0.9020
Cu: 0.5000 0.7583 0.4240
Cu: 0.0000 0.0922 0.0980
Cu: 0.0000 0.5922 0.4020
Cu: 0.5000 0.7417 0.9240
Cu: 0.0000 0.4078 0.5980
Cu: 0.0000 0.2043 0.4216
Cu: 0.0000 0.7957 0.5784
Cu: 0.5000 0.2417 0.5760
Cu: 0.0000 0.2957 0.9216
Zn: 0.5000 0.0935 0.8918
Zn: 0.5000 0.5000 0.0000
Zn: 0.5000 0.6228 0.2226
Zn: 0.5000 0.5935 0.6082
Zn: 0.5000 0.3772 0.7774
Zn: 0.5000 0.4065 0.3918
Zn: 0.5000 0.0000 0.5000
Zn: 0.5000 0.8772 0.7226
Zn: 0.5000 0.9065 0.1082
Zn: 0.5000 0.1228 0.2774
Au: 0.0000 0.5973 0.8018
Au: 0.0000 0.0973 0.6982
Au: 0.0000 0.9027 0.3018
Au: 0.0000 0.4027 0.1982

# 11
Computed, not measured: a geometry-optimized Li2VHg structure at the PBE level of DFT.

## Properties
Formation energy   1.6 eV per formula unit

a = 7.3546 Å, b = 7.3546 Å, c = 5.9063 Å
α = 51.49°, β = 51.49°, γ = 90.00°
Site moments in Bohr magnetons follow the coordinates.
Element x y z (fractional)
Li: 0.1086 0.6250 0.2500  0.03
Li: 0.6414 0.1250 0.2500  0.03
Li: 0.8750 0.8914 0.7500  0.03
Li: 0.3750 0.3586 0.7500  0.03
Hg: 0.0000 0.0000 0.0000  0.05
Hg: 0.7500 0.2500 0.5000  0.05
V: 0.5000 0.5000 0.0000  2.87
V: 0.2500 0.7500 0.5000  2.87

# 12
Computed, not measured: a geometry-optimized ScPtF3 structure at the PBE level of DFT.

## Properties
Raw total energy   -5.713 eV/atom

a = 4.1501 Å, b = 4.1501 Å, c = 4.1501 Å
α = 90.00°, β = 90.00°, γ = 90.00°
Site moments in Bohr magnetons follow the coordinates.
Element x y z (fractional)
F: 0.0000 0.5000 0.0000  0.00
F: 0.0000 0.0000 0.5000  0.00
F: 0.5000 0.0000 0.0000  0.00
Pt: 0.5000 0.5000 0.5000  0.20
Sc: 0.0000 0.0000 0.0000  0.00